Entry 1:
Material: Mn3V2Ga2Co
Method: DFT, SCAN
State: PBEsol geometry

The space group is R3m (No. 160, hexagonal axes) and the conventional cell measures 4.0244, 4.0244 and 19.7497 Å, with angles of 90.00, 90.00 and 120.00 degrees. The distinct sites, in fractional coordinates, are Mn at (0.0000, 0.0000, 0.0000), Mn at (0.0000, 0.0000, 0.2498), Mn at (0.0000, 0.0000, 0.7489), V at (0.0000, 0.0000, 0.3733), V at (0.0000, 0.0000, 0.8762), Ga at (0.0000, 0.0000, 0.1255), Ga at (0.0000, 0.0000, 0.6237) and Co at (0.0000, 0.0000, 0.4995).

The volume comes out at 11.54 A^3/atom. The energy of formation from the pure elements is -0.347 eV/atom. For the density, the calculation gives 8.4 g/cm3.


Entry 2:
Material: MnV2Ga2Co3
Method: DFT, SCAN
State: PBEsol geometry

The space group is Pn-3m (No. 224, origin choice 2) and the conventional cell measures 5.669, 5.669 and 5.669 Å, with angles of 90.00, 90.00 and 90.00 degrees. The distinct sites, in fractional coordinates, are Mn at (0.250, 0.250, 0.250), V at (0.000, 0.000, 0.000), Ga at (0.000, 0.000, 0.500) and Co at (0.250, 0.250, 0.750).

The volume comes out at 11.39 A^3/atom. The energy of formation from the pure elements is -0.356 eV/atom. For the density, the calculation gives 8.6 g/cm3.